Density functional theory data (PBE-GGA) for a relaxed structure of PrHoAu2.

```
PrHoAu2
1.0
4.723 0.000 0.000
0.000 1.900 5.576
0.000 -1.900 5.576
Pr Ho Au
1 1 2
direct
0.000 0.000 0.000 Pr
0.500 0.277 0.277 Ho
0.000 0.728 0.728 Au
0.500 0.553 0.553 Au
```

Calculated values
Calculated formation energy: -318 kJ/mol of formula units